GaTe3Se | PBE | optimized geometry

Values from the calculation:
As for the uncorrected formation energy: 384 meV/atom. The value obtained for the relative energy among the computed polymorphs is 0 meV per atom. The total energy comes out at -2.80 eV/atom. For the total magnetic moment, the calculation gives 0.000 μB per atom. The density of states at the Fermi level is 3.61 states/eV/f.u. Its space-group type is Pm-3m.

a = 5.538 Å, b = 5.538 Å, c = 5.538 Å
α = 90.00°, β = 90.00°, γ = 90.00°
Fractional positions:
Ga1 0.000 0.000 0.000
Te1 0.000 0.500 0.500
Te2 0.500 0.000 0.500
Te3 0.500 0.500 0.000
Se1 0.500 0.500 0.500